(1)
Crystalline LiAl2Tl2 at its relaxed geometry. Source: Alexandria, functional GGA-PBE.

```
5
Lattice="3.859 0.000 0.000 0.000 3.859 0.000 1.930 1.930 8.075" Properties=species:S:1:pos:R:3 pbc="T T T"
Tl 1.930 1.930 1.683
Tl 3.859 3.859 6.393
Al 3.859 1.930 4.038
Al 1.930 3.859 4.038
Li 0.000 0.000 0.000
```

Properties
final energy	-2.7188	eV per atom
symmetry	I4/mmm, No. 139
E above lowest polymorph	0	meV per atom

(2)
Crystalline Hf2TeC at its relaxed geometry. Source: Alexandria, functional GGA-PBE.

```
4
Lattice="0.000 3.283 3.283 3.283 0.000 3.283 3.283 3.283 0.000" Properties=species:S:1:pos:R:3 pbc="T T T"
C 0.000 0.000 0.000
Te 3.283 3.283 3.283
Hf 1.642 1.642 1.642
Hf 4.925 4.925 4.925
```

Properties
final energy	-7.5620	eV per atom
symmetry	Fm-3m, No. 225

(3)
Crystalline Rb12Br3Cl5 at its relaxed geometry. Source: Alexandria, functional GGA-PBE.

```
80
Lattice="-12.978 10.373 6.353 -0.292 -15.677 8.399 15.726 7.869 2.677" Properties=species:S:1:pos:R:3 pbc="T T T"
Br -7.877 2.884 8.249
Br -9.609 -1.698 12.193
Br 4.743 -2.950 10.355
Br 2.616 3.584 3.642
Br -7.461 9.084 7.278
Br -1.118 -3.941 8.301
Br 3.574 6.506 9.128
Br 9.917 -6.519 10.151
Br -0.161 -1.020 13.787
Br -2.287 5.515 7.074
Br 12.065 4.262 5.237
Br 10.333 -0.320 9.180
Cl 2.200 -2.615 4.613
Cl -0.146 -7.838 4.199
Cl 0.000 0.000 0.000
Cl -2.974 0.954 4.817
Cl 1.374 9.121 4.515
Cl -6.635 -2.652 7.376
Cl 4.056 -7.510 8.097
Cl 3.990 12.705 8.157
Cl -4.019 0.932 11.018
Cl 6.891 7.832 5.440
Cl -4.435 -5.267 11.989
Cl 1.228 1.282 8.715
Cl -6.489 5.186 3.177
Cl 7.863 3.934 1.339
Cl 6.475 1.632 6.411
Cl -1.534 -10.140 9.272
Cl 7.717 -3.904 5.538
Cl -1.600 10.075 9.332
Cl 5.430 1.611 12.613
Cl 0.256 5.180 12.816
Rb -8.718 5.695 5.697
Rb 2.087 -1.836 7.659
Rb -8.102 6.402 10.020
Rb -5.029 3.223 5.541
Rb 2.824 0.222 11.527
Rb -9.897 2.126 11.552
Rb 2.081 -5.722 9.770
Rb 0.558 -12.387 8.590
Rb 2.697 -3.653 13.653
Rb -6.651 -0.401 9.928
Rb -4.481 3.831 9.888
Rb -10.375 -5.430 12.969
Rb 6.582 -5.641 8.235
Rb -3.604 -1.875 6.040
Rb 4.480 -10.431 9.186
Rb 3.877 6.946 5.277
Rb 2.184 -0.196 2.602
Rb -4.789 -5.090 8.868
Rb -6.444 -3.529 13.673
Rb -0.349 -4.457 4.525
Rb 7.251 -5.043 12.566
Rb -1.338 -0.451 10.126
Rb -3.605 0.750 14.131
Rb 4.066 10.281 10.161
Rb 3.794 3.015 7.304
Rb 6.061 1.815 3.298
Rb -1.610 -7.716 7.269
Rb 8.900 6.093 3.756
Rb -4.795 7.608 4.863
Rb 2.804 7.022 12.904
Rb 7.244 7.655 8.561
Rb -1.422 -4.381 12.152
Rb 0.272 2.761 14.827
Rb -2.024 12.996 8.244
Rb -4.126 8.206 9.194
Rb 12.830 7.995 4.461
Rb 6.059 4.439 11.389
Rb -0.241 6.218 3.776
Rb 9.107 2.966 7.501
Rb 6.937 -1.267 7.542
Rb 1.897 14.952 8.840
Rb 0.375 8.287 7.660
Rb 7.484 -0.658 11.888
Rb 12.353 0.438 5.878
Rb -0.369 2.342 5.903
Rb 10.558 -3.838 7.410
Rb 0.368 4.401 9.771
Rb 11.173 -3.130 11.732
```

Properties
final energy	-2.6248	eV per atom
symmetry	Ia-3d, No. 230

(4)
Crystalline NdHfCu10 at its relaxed geometry. Source: Alexandria, functional GGA-PBE.

```
12
Lattice="-3.289 -2.331 0.727 1.810 -1.144 4.517 -4.088 6.817 3.365" Properties=species:S:1:pos:R:3 pbc="T T T"
Nd 0.000 0.000 0.000
Hf -1.139 2.837 3.941
Cu -1.404 2.341 1.156
Cu -2.445 5.013 5.015
Cu 0.166 0.660 2.867
Cu -2.684 4.476 2.209
Cu -3.688 2.243 2.046
Cu -0.739 -1.738 2.622
Cu -2.245 0.316 2.394
Cu -3.322 3.026 6.215
Cu -1.361 -0.243 4.601
Cu -4.206 3.585 4.008
```

Properties
final energy	-4.7290	eV per atom
symmetry	Pmmm, No. 47

(5)
Crystalline NbCoH4 at its relaxed geometry. Source: Alexandria, functional GGA-PBE.

```
12
Lattice="4.896 -0.826 0.000 -2.105 5.105 0.000 -1.395 -2.139 3.799" Properties=species:S:1:pos:R:3 pbc="T T T"
Nb 0.171 2.346 0.798
Nb 1.224 -0.207 3.000
Co 1.224 -0.207 0.346
Co 0.171 2.346 3.453
H 2.875 -1.276 2.956
H 1.573 1.837 2.780
H -0.427 0.863 2.956
H -1.231 2.855 2.780
H 2.626 -0.715 1.019
H 1.823 1.276 0.842
H -0.178 0.302 1.019
H -1.480 3.416 0.842
```

Properties
final energy	-5.1009	eV per atom
symmetry	C2/c, No. 15

(6)
Crystalline K2ReHg at its relaxed geometry. Source: Alexandria, functional GGA-PBE.

```
4
Lattice="-6.724 -0.593 0.814 -2.157 -4.581 4.538 3.752 5.597 -0.908" Properties=species:S:1:pos:R:3 pbc="T T T"
Hg -1.813 -1.013 3.388
K -0.229 -0.133 0.138
K -3.532 1.310 1.186
Re -3.996 -2.328 2.408
```

Properties
final energy	-2.5901	eV per atom
symmetry	Imm2, No. 44

(7)
Crystalline RbLaBe2F8 at its relaxed geometry. Source: Alexandria, functional GGA-PBE.

```
12
Lattice="5.256 0.000 0.000 2.628 4.552 0.000 2.628 1.517 7.838" Properties=species:S:1:pos:R:3 pbc="T T T"
Rb 5.256 3.035 3.919
La 0.000 0.000 0.000
Be 2.628 1.517 2.002
Be 7.884 4.552 5.836
F 2.628 1.517 3.487
F 4.098 1.519 1.374
F 7.884 4.552 4.351
F 7.148 2.790 1.374
F 3.364 3.280 6.464
F 4.522 4.796 1.374
F 5.990 1.274 6.464
F 6.414 4.551 6.464
```

Properties
final energy	-5.8483	eV per atom
symmetry	R-3, No. 148

(8)
Crystalline CsTlSbCl6 at its relaxed geometry. Source: Alexandria, functional GGA-PBE.

```
9
Lattice="7.797 0.000 0.000 3.899 6.752 0.000 0.000 0.000 7.079" Properties=species:S:1:pos:R:3 pbc="T T T"
Cs 7.797 0.000 7.079
Tl 7.797 4.501 3.540
Sb 3.899 2.251 3.539
Cl 1.817 2.286 2.063
Cl 2.888 0.431 5.016
Cl 5.980 2.286 5.016
Cl 2.828 4.036 5.016
Cl 4.969 4.036 2.063
Cl 4.909 0.431 2.063
```

Properties
final energy	-3.1439	eV per atom
symmetry	P312, No. 149

(9)
Crystalline Sm3ThSn12 at its relaxed geometry. Source: Alexandria, functional GGA-PBE.

```
16
Lattice="4.782 0.000 0.000 0.000 4.782 0.000 0.000 0.000 18.714" Properties=species:S:1:pos:R:3 pbc="T T T"
Sm 0.000 0.000 4.640
Sm 0.000 0.000 9.357
Sm 0.000 0.000 14.075
Th 0.000 0.000 0.000
Sn 2.391 2.391 0.000
Sn 2.391 2.391 4.695
Sn 2.391 2.391 9.357
Sn 2.391 2.391 14.019
Sn 2.391 0.000 2.346
Sn 2.391 0.000 7.012
Sn 2.391 0.000 11.702
Sn 2.391 0.000 16.369
Sn 0.000 2.391 2.346
Sn 0.000 2.391 7.012
Sn 0.000 2.391 11.702
Sn 0.000 2.391 16.369
```

Properties
final energy	-4.8243	eV per atom
symmetry	P4/mmm, No. 123

(10)
Crystalline Mn2NiP at its relaxed geometry. Source: Alexandria, functional GGA-PBE.

```
4
Lattice="5.753 0.007 0.017 -2.108 3.423 -0.005 1.538 0.952 2.373" Properties=species:S:1:pos:R:3 pbc="T T T"
Mn 0.000 0.000 0.000
Mn 3.646 0.479 1.195
Ni -0.285 2.187 1.184
P 1.823 1.715 0.006
```

Properties
final energy	-7.5086	eV per atom
symmetry	Cmmm, No. 65

(11)
Crystalline Y8Os2Pt at its relaxed geometry. Source: Alexandria, functional GGA-PBE.

```
11
Lattice="-2.070 3.200 4.424 -6.108 -0.097 -4.505 0.916 -6.659 3.527" Properties=species:S:1:pos:R:3 pbc="T T T"
Y -3.216 1.312 1.307
Y -1.363 -0.419 3.427
Y -2.290 -1.903 0.448
Y -2.677 -2.062 6.132
Y -6.614 1.616 1.629
Y -4.942 -1.754 2.889
Y -5.879 -3.303 -0.134
Y -4.026 -5.034 1.985
Os -4.961 -0.620 0.155
Os -2.317 -3.090 3.178
Pt -5.467 -6.313 -0.377
```

Properties
final energy	-7.6050	eV per atom
symmetry	Cm, No. 8

(12)
Crystalline DyPd7Au4 at its relaxed geometry. Source: Alexandria, functional GGA-PBE.

```
12
Lattice="5.329 -1.368 1.858 0.445 4.509 2.014 1.388 -1.142 8.429" Properties=species:S:1:pos:R:3 pbc="T T T"
Dy 0.000 0.000 0.000
Pd 5.590 0.094 10.822
Pd 1.572 1.906 1.480
Pd 6.404 -0.636 8.169
Pd 0.758 2.636 4.133
Pd 2.630 2.631 7.768
Pd 2.665 -0.684 0.929
Pd 4.533 -0.632 4.534
Au 3.382 1.924 5.081
Au 3.780 0.075 7.221
Au 5.310 1.970 8.723
Au 1.853 0.029 3.578
```

Properties
final energy	-4.8532	eV per atom
symmetry	P-1, No. 2
E above lowest polymorph	0	meV per atom